(1)
KSr2SnSe4 | PBE | optimized geometry

Structure (POSCAR):
```
KSr2SnSe4
1.0
-6.405 6.044 -0.318
-2.919 -3.307 -7.628
0.827 -5.236 7.092
Se Sr Sn K
8 4 2 2
direct
0.755 0.223 0.989
0.723 0.255 0.489
0.254 0.246 0.010
0.277 0.745 0.511
0.245 0.777 0.011
0.254 0.246 0.490
0.746 0.754 0.990
0.746 0.754 0.510
0.500 0.000 0.500
0.000 0.000 0.500
0.500 0.000 0.000
0.500 0.500 0.000
0.500 0.500 0.500
0.000 0.000 0.000
0.000 0.500 0.000
0.000 0.500 0.500
```

Space group = Imma
N(E_F) = 0.5748 states/eV per atom
E = -32.7 eV per formula unit
Formation energy (no corrections) = -1.285 eV/atom

***

(2)
MnBi2Ru | PBE | optimized geometry

Structure (POSCAR):
```
MnBi2Ru
1.0
0.000 3.359 3.359
3.359 0.000 3.359
3.359 3.359 0.000
Bi Ru Mn
2 1 1
direct
0.750 0.750 0.750
0.250 0.250 0.250
0.500 0.500 0.500
0.000 0.000 0.000
```

ΔE_f = 671.0 meV per atom
Space group = Fm-3m
N(E_F) = 1.0822 states/eV per atom
E = -23.5 eV per formula unit
Energy above the most stable polymorph in this dataset = 0.005 eV per atom

***

(3)
Pm2ScNi4Sb3 | PBE | optimized geometry

Structure (POSCAR):
```
Pm2ScNi4Sb3
1.0
4.303 0.000 0.000
0.000 4.303 0.000
0.000 0.000 10.670
Ni Pm Sc Sb
4 2 1 3
direct
0.000 0.000 0.000
0.000 0.500 0.363
0.500 0.500 0.000
0.500 0.000 0.637
0.500 0.000 0.227
0.000 0.500 0.773
0.500 0.500 0.500
0.500 0.000 0.870
0.000 0.000 0.500
0.000 0.500 0.130
```

Space group = P-4m2
N(E_F) = 0.4798 states/eV per atom
E = -58.2 eV per formula unit
Formation energy (no corrections) = -0.688 eV/atom

***

(4)
HoSb3S6 | PBE | optimized geometry

Structure (POSCAR):
```
HoSb3S6
1.0
-0.460 -3.956 0.096
6.888 -0.910 -4.513
1.977 -0.036 8.045
Ho S Sb
1 6 3
direct
0.000 0.500 0.500
0.000 0.100 0.336
0.000 0.900 0.664
0.000 0.336 0.100
0.000 0.664 0.900
0.500 0.646 0.354
0.500 0.354 0.646
0.500 0.500 0.000
0.500 0.000 0.500
0.000 0.000 0.000
```

Space group = Cmmm
N(E_F) = 0.2681 states/eV per atom
E = -46.8 eV per formula unit
Formation energy (no corrections) = -0.510 eV/atom
Energy above the most stable polymorph in this dataset = 0.195 eV per atom

***

(5)
SbSBr | PBE | optimized geometry

Structure (POSCAR):
```
SbSBr
1.0
3.987 0.000 0.000
-1.993 3.453 0.000
0.000 0.000 7.113
Sb Br S
1 1 1
direct
0.667 0.333 0.307
0.333 0.667 0.580
0.000 0.000 0.113
```

Space group = P3m1
E = -11.1 eV per formula unit
Formation energy (no corrections) = -0.384 eV/atom

***

(6)
KLiPbSe2 | PBE | optimized geometry

Structure (POSCAR):
```
KLiPbSe2
1.0
-0.424 -0.557 4.394
7.624 -2.583 -1.843
3.203 8.495 1.384
Pb Se K Li
2 4 2 2
direct
0.946 0.893 0.780
0.054 0.107 0.220
0.650 0.300 0.338
0.141 0.281 0.952
0.859 0.719 0.048
0.350 0.700 0.662
0.688 0.377 0.688
0.312 0.623 0.312
0.694 0.387 0.066
0.306 0.613 0.934
```

Space group = C2/m
N(E_F) = 0.0000 states/eV per atom
E = -18.4 eV per formula unit
Formation energy (no corrections) = -0.936 eV/atom

***

(7)
P2RhPbO | PBE | optimized geometry

Structure (POSCAR):
```
P2RhPbO
1.0
-3.281 -0.673 3.659
-2.737 -2.868 -2.982
1.903 -3.015 1.153
P Rh Pb O
2 1 1 1
direct
0.500 0.000 0.000
0.000 0.500 0.000
0.000 0.000 0.000
0.500 0.500 0.500
0.000 0.000 0.500
```

Space group = P4/mmm
N(E_F) = 0.9049 states/eV per atom
E = -26.2 eV per formula unit
Formation energy (no corrections) = 0.132 eV/atom
Energy above the most stable polymorph in this dataset = 0.000 eV per atom

***

(8)
NaSmSn2S4 | PBE | optimized geometry

Structure (POSCAR):
```
NaSmSn2S4
1.0
-3.213 -2.541 -0.150
1.162 -1.873 6.845
-3.632 4.348 4.145
Na Sm Sn S
1 1 2 4
direct
0.500 0.500 0.000
0.000 0.500 0.500
0.500 0.000 0.500
0.000 0.000 0.000
0.000 0.255 0.259
0.000 0.745 0.741
0.500 0.263 0.738
0.500 0.737 0.262
```

Space group = P2/m
E = -39.0 eV per formula unit
Formation energy (no corrections) = -1.052 eV/atom